Entry from Alexandria via LeMat-Bulk: a relaxed structure of RuPb3Se (PBE-GGA).

Computed properties:
As for the space group: Pm-3m.

Cell lengths 5.240, 5.240, 5.240 Å; angles 90.00, 90.00, 90.00 degrees
Fractional positions:
Pb (0.000, 0.500, 0.000)
Ru (0.000, 0.000, 0.000)
Pb (0.000, 0.000, 0.500)
Se (0.500, 0.500, 0.500)
Pb (0.500, 0.000, 0.000)

=====

Entry from Alexandria via LeMat-Bulk: a relaxed structure of RuPbSe2 (PBE-GGA).

Computed properties:
As for the space group: I4/mmm.

Cell lengths 4.850, 4.853, 4.845 Å; angles 70.56, 70.56, 109.49 degrees
Fractional positions:
Pb (0.000, 0.500, 0.500)
Ru (0.500, 0.500, 0.000)
Se (0.500, 0.000, 0.500)
Se (0.000, 0.000, 0.000)

=====

Entry from Alexandria via LeMat-Bulk: a relaxed structure of RuPbSe4 (PBE-GGA).

Computed properties:
As for the space group: F-43m.

Cell lengths 5.752, 5.752, 5.752 Å; angles 60.00, 60.00, 60.00 degrees
Site moments in Bohr magnetons follow the coordinates.
Fractional positions:
Ru (0.000, 0.000, 0.000)  2.16
Se (0.373, 0.373, 0.373)  0.04
Se (0.880, 0.373, 0.373)  0.04
Pb (0.750, 0.750, 0.750)  -0.05
Se (0.373, 0.373, 0.880)  0.04
Se (0.373, 0.880, 0.373)  0.04

=====

Number 1: raw formation energy 21 meV per atom. Number 2: raw formation energy 395 meV per atom. Number 3: raw formation energy 850 meV per atom.